Cs2UPaS6: relaxed, GGA-PBE.

Lattice parameters (Å, degrees): 7.4741 7.4741 7.4741 60.00 60.00 60.00
Atoms (fractional coordinates):
1 Cs 0.2500 0.2500 0.2500
2 Cs 0.7500 0.7500 0.7500
3 U 0.0000 0.0000 0.0000
4 Pa 0.5000 0.5000 0.5000
5 S 0.2492 0.2492 0.7508
6 S 0.2492 0.7508 0.2492
7 S 0.2492 0.7508 0.7508
8 S 0.7508 0.2492 0.2492
9 S 0.7508 0.2492 0.7508
10 S 0.7508 0.7508 0.2492

As for the final energy: -6.203 eV/atom. The space group is Fm-3m.